Material: SrAl3Te
Method: DFT, SCAN
State: single point on PBEsol structure

```
data_SrAl3Te
_cell_length_a 5.760
_cell_length_b 5.760
_cell_length_c 5.760
_cell_angle_alpha 90.00
_cell_angle_beta 90.00
_cell_angle_gamma 90.00
_symmetry_space_group_name_H-M 'P m -3 m'
_symmetry_Int_Tables_number 221
_symmetry_space_group_name_Hall '-P 4 2 3'
loop_
_atom_site_label
_atom_site_type_symbol
_atom_site_fract_x
_atom_site_fract_y
_atom_site_fract_z
Sr1 Sr 0.000 0.000 0.000
Al1 Al 0.000 0.000 0.500
Te1 Te 0.500 0.500 0.500
```

Values from the calculation:
- Energy relative to the elements, uncorrected: 1.3939 eV/atom

---

Material: CaMnCo2
Method: DFT, SCAN
State: single point on PBEsol structure

```
data_CaMnCo2
_cell_length_a 2.8082
_cell_length_b 2.8082
_cell_length_c 24.4659
_cell_angle_alpha 90.00
_cell_angle_beta 90.00
_cell_angle_gamma 120.00
_symmetry_space_group_name_H-M 'R -3 m'
_symmetry_Int_Tables_number 166
_symmetry_space_group_name_Hall '-R 3 2"'
loop_
_atom_site_label
_atom_site_type_symbol
_atom_site_fract_x
_atom_site_fract_y
_atom_site_fract_z
Ca1 Ca 0.0000 0.0000 0.0000
Mn1 Mn 0.0000 0.0000 0.5000
Co1 Co 0.0000 0.0000 0.2376
```

Values from the calculation:
- Formation enthalpy at 0 K: 0.615 eV/atom
- ΔE to the lowest computed polymorph: 315 meV per atom

---

Material: CoCuRh
Method: DFT, SCAN
State: single point on PBEsol structure

```
data_CoCuRh
_cell_length_a 2.626
_cell_length_b 3.540
_cell_length_c 7.704
_cell_angle_alpha 90.00
_cell_angle_beta 90.00
_cell_angle_gamma 90.00
_symmetry_space_group_name_H-M 'I m m 2'
_symmetry_Int_Tables_number 44
loop_
_symmetry_equiv_pos_as_xyz
'x,y,z'
'-x,-y,z'
'-x,y,z'
'x,-y,z'
'x+1/2,y+1/2,z+1/2'
'-x+1/2,-y+1/2,z+1/2'
'-x+1/2,y+1/2,z+1/2'
'x+1/2,-y+1/2,z+1/2'
loop_
_atom_site_label
_atom_site_type_symbol
_atom_site_fract_x
_atom_site_fract_y
_atom_site_fract_z
Co1 Co 0.000 0.000 0.000
Cu1 Cu 0.000 0.000 0.665
Rh1 Rh 0.000 0.000 0.337
```

Values from the calculation:
- Formation enthalpy at 0 K: 0.065 eV/atom
- ΔE to the lowest computed polymorph: 0 meV per atom

---

Material: Y2ZrMo
Method: DFT, SCAN
State: single point on PBEsol structure

```
data_Y2ZrMo
_cell_length_a 3.156
_cell_length_b 4.891
_cell_length_c 6.011
_cell_angle_alpha 90.00
_cell_angle_beta 102.90
_cell_angle_gamma 90.00
_symmetry_space_group_name_H-M 'P 1 2/m 1'
_symmetry_Int_Tables_number 10
loop_
_symmetry_equiv_pos_as_xyz
'x,y,z'
'-x,-y,-z'
'-x,y,-z'
'x,-y,z'
loop_
_atom_site_label
_atom_site_type_symbol
_atom_site_fract_x
_atom_site_fract_y
_atom_site_fract_z
Y1 Y 0.104 0.000 0.264
Zr1 Zr 0.500 0.500 0.000
Mo1 Mo 0.500 0.500 0.500
```

Values from the calculation:
- Formation enthalpy at 0 K: 0.412 eV/atom
- ΔE to the lowest computed polymorph: 52 meV per atom

---

Record order is preserved below.
VASP energy: -15.16, -15.02, -22.03, -29.91 eV/atom